[1]
A plane-wave DFT calculation with GGA-PBE was carried out for a relaxed structure of CoRe2As.

- Calculated density: 14645 kg/m³
- Total moment: 1.5 μB/f.u.
- E_form: 444 meV per atom

a b c (Å): 3.0007 4.3734 4.3742
angles (deg): 90.00 90.00 90.00
Site moments in Bohr magnetons follow the coordinates.
Fractional positions:
Re 0.0000 0.0000 0.0000  -0.05
Re 0.5000 0.5000 0.0000  -0.22
Co 0.0000 0.5000 0.5000  -1.21
As 0.5000 0.0000 0.5000  0.01

=====

[2]
A plane-wave DFT calculation with GGA-PBE was carried out for a relaxed structure of Tm3Au5.

- Calculated density: 14206 kg/m³
- Total moment: 0.0 μB/f.u.
- E_form: -828 meV per atom

a b c (Å): 3.6562 7.4206 7.4206
angles (deg): 120.00 90.00 90.00
Fractional positions:
Au 0.0000 0.7684 0.7684
Tm 0.5000 0.6178 0.0000
Au 0.0000 0.3333 0.6667
Au 0.0000 0.2316 0.0000
Tm 0.5000 0.3822 0.3822
Au 0.0000 0.0000 0.2316
Tm 0.5000 0.0000 0.6178
Au 0.0000 0.6667 0.3333

=====

[3]
A plane-wave DFT calculation with GGA-PBE was carried out for a relaxed structure of KZr2GaCu.

- Calculated density: 3867 kg/m³
- Total moment: 0.0 μB/f.u.
- E_form: 994 meV per atom

a b c (Å): 5.0950 5.8694 5.0950
angles (deg): 90.00 90.00 90.00
Fractional positions:
Zr 0.0000 0.0000 0.5000
Cu 0.5000 0.5000 0.5000
K 0.0000 0.5000 0.0000
Ga 0.0000 0.0000 0.0000
Zr 0.5000 0.0000 0.0000

=====

[4]
A plane-wave DFT calculation with GGA-PBE was carried out for a relaxed structure of Sm2YTe4.

- Raw formation energy: -1.4063 eV/atom
- Calculated density: 6029 kg/m³
- Total moment: 0.0 μB/f.u.

a b c (Å): 4.4020 7.7170 8.5689
angles (deg): 117.19 104.88 90.00
Fractional positions:
Te 0.6270 0.2857 0.2540
Te 0.1185 0.7920 0.2371
Te 0.3730 0.7143 0.7460
Te 0.8815 0.2080 0.7629
Sm 0.2582 0.2455 0.5164
Y 0.0000 0.0000 0.0000
Sm 0.7418 0.7545 0.4836

=====

[5]
A plane-wave DFT calculation with GGA-PBE was carried out for a relaxed structure of RbScH2N.

- Calculated density: 3111 kg/m³
- Total moment: 1.0 μB/f.u.
- VASP energy: -4.6619 eV per atom

a b c (Å): 4.3299 4.1695 4.3299
angles (deg): 90.00 90.00 90.00
Site moments in Bohr magnetons follow the coordinates.
Fractional positions:
Rb 0.5000 0.5000 0.5000  0.01
H 0.0000 0.0000 0.5000  0.01
H 0.5000 0.0000 0.0000  0.03
N 0.0000 0.5000 0.0000  0.60
Sc 0.0000 0.0000 0.0000  -0.02

=====

[6]
A plane-wave DFT calculation with GGA-PBE was carried out for a relaxed structure of MgCrBr.

- Raw formation energy: 0.3084 eV/atom
- Calculated density: 3806 kg/m³
- Total moment: 4.5 μB/f.u.

a b c (Å): 4.7424 4.7424 3.4987
angles (deg): 90.00 90.00 120.00
Site moments in Bohr magnetons follow the coordinates.
Fractional positions:
Br 0.0000 0.0000 0.1663  -0.01
Mg 0.3333 0.6667 0.6672  -0.03
Cr 0.6667 0.3333 0.1665  3.85